(1)
# ScHgAs2

An optimized crystal structure of ScHgAs2 (PBE, the Alexandria database).

```
4
Lattice="7.994 -0.036 -0.021 7.183 3.508 -0.021 7.183 1.643 3.099" Properties=species:S:1:pos:R:3 pbc="T T T"
As 22.317 5.105 3.050
As 5.793 1.325 0.792
Hg 11.196 2.561 1.530
Sc 16.593 3.796 2.268
```

Calculated values
Its total energy is -16.5 eV/cell. The energy of formation is -0.15 eV/atom. The space-group type is R3m (160).


(2)
# ScHgAs2

An optimized crystal structure of ScHgAs2 (PBE, the Alexandria database).

```
4
Lattice="-2.459 1.217 2.244 -1.279 -3.427 0.458 3.515 -4.454 6.265" Properties=species:S:1:pos:R:3 pbc="T T T"
As 3.094 -4.361 5.755
As 1.538 -4.032 3.872
Hg -0.670 -1.362 2.803
Sc 0.448 -5.302 6.164
```

Calculated values
Its total energy is -17.9 eV/cell. The energy of formation is -0.50 eV/atom. The space-group type is P2/m (10).


(3)
# Sc2HgAs2

An optimized crystal structure of Sc2HgAs2 (PBE, the Alexandria database).

```
5
Lattice="-1.371 -2.553 -2.451 3.538 -0.917 -1.024 1.273 -6.926 3.563" Properties=species:S:1:pos:R:3 pbc="T T T"
Sc 1.125 -2.873 -0.576
Sc 2.315 -7.523 0.663
As 0.493 -5.607 -0.313
As 2.947 -4.789 0.401
Hg 0.000 0.000 0.000
```

Calculated values
Its total energy is -25.0 eV/cell. The energy of formation is -0.56 eV/atom. The space-group type is I4/mmm (139).


(4)
# ScHgAs2

An optimized crystal structure of ScHgAs2 (PBE, the Alexandria database).

```
4
Lattice="-3.685 -4.689 -4.712 3.685 -0.915 2.656 -1.756 -2.994 1.346" Properties=species:S:1:pos:R:3 pbc="T T T"
As 0.000 0.000 0.000
As -2.721 -3.841 -1.683
Hg 0.965 -1.955 2.001
Sc 0.000 -2.802 -1.028
```

Calculated values
Its total energy is -17.4 eV/cell. The energy of formation is -0.37 eV/atom. The space-group type is C2/m (12).


(5)
# Sc2HgAs

An optimized crystal structure of Sc2HgAs (PBE, the Alexandria database).

```
4
Lattice="-3.853 -2.710 1.648 0.623 -3.165 3.808 -2.041 1.008 4.441" Properties=species:S:1:pos:R:3 pbc="T T T"
As -2.636 -2.433 4.949
Hg -3.953 -3.650 7.424
Sc 0.000 0.000 0.000
Sc -1.318 -1.217 2.475
```

Calculated values
Its total energy is -17.7 eV/cell. The energy of formation is -0.02 eV/atom. The space-group type is F-43m (216).


(6)
# Sc2HgAs

An optimized crystal structure of Sc2HgAs (PBE, the Alexandria database).

```
4
Lattice="-8.024 2.235 5.323 -7.602 -0.887 6.256 -5.937 1.515 7.757" Properties=species:S:1:pos:R:3 pbc="T T T"
As -10.874 1.443 9.751
Hg -16.172 2.147 14.500
Sc -0.004 0.000 0.003
Sc -5.295 0.703 4.748
```

Calculated values
Its total energy is -18.2 eV/cell. The energy of formation is -0.15 eV/atom. The space-group type is R3m (160).


(7)
# Sc2HgAs2

An optimized crystal structure of Sc2HgAs2 (PBE, the Alexandria database).

```
10
Lattice="7.705 0.000 0.000 0.000 7.705 0.000 0.000 0.000 3.528" Properties=species:S:1:pos:R:3 pbc="T T T"
Sc 2.730 6.582 0.000
Sc 6.582 4.975 0.000
Sc 4.975 1.123 0.000
Sc 1.123 2.730 0.000
As 1.184 5.037 1.764
As 5.037 6.521 1.764
As 6.521 2.668 1.764
As 2.668 1.184 1.764
Hg 0.000 0.000 0.000
Hg 3.852 3.852 0.000
```

Calculated values
Its total energy is -52.6 eV/cell. The energy of formation is -0.81 eV/atom. The space-group type is P4/mbm (127).


(8)
# ScHgAs4

An optimized crystal structure of ScHgAs4 (PBE, the Alexandria database).

```
6
Lattice="4.197 -3.750 -0.082 -0.700 -4.952 -2.583 2.720 -1.076 -4.809" Properties=species:S:1:pos:R:3 pbc="T T T"
Sc 0.000 0.000 0.000
Hg 4.663 -7.333 -5.605
As 4.422 -5.538 -2.849
As 3.688 -4.209 -5.199
As 1.988 -6.135 -4.092
As 2.336 -3.674 -2.808
```

Calculated values
Its total energy is -25.0 eV/cell. The energy of formation is 0.05 eV/atom. The space-group type is F-43m (216).


(9)
# Sc2HgAs

An optimized crystal structure of Sc2HgAs (PBE, the Alexandria database).

```
4
Lattice="-3.041 1.419 -4.581 -5.070 -1.195 -2.261 -1.607 3.029 2.009" Properties=species:S:1:pos:R:3 pbc="T T T"
As -4.863 2.001 -1.998
Hg -2.459 0.440 -1.654
Sc -0.287 0.382 0.179
Sc -6.969 2.057 -3.776
```

Calculated values
Its total energy is -20.5 eV/cell. The energy of formation is -0.71 eV/atom. The space-group type is Amm2 (38).


(10)
# Sc2HgAs

An optimized crystal structure of Sc2HgAs (PBE, the Alexandria database).

```
4
Lattice="3.763 0.000 0.000 1.882 3.259 0.000 1.882 1.086 7.392" Properties=species:S:1:pos:R:3 pbc="T T T"
Sc 1.882 1.086 5.828
Sc 1.882 1.086 1.561
Hg 3.763 2.173 3.721
As 5.645 3.259 7.369
```

Calculated values
Its total energy is -20.7 eV/cell. The energy of formation is -0.77 eV/atom. The space-group type is R3m (160).


(11)
# ScHg2As

An optimized crystal structure of ScHg2As (PBE, the Alexandria database).

```
4
Lattice="-2.086 -2.667 4.545 3.962 -2.162 3.427 -1.375 4.981 -2.329" Properties=species:S:1:pos:R:3 pbc="T T T"
As 1.830 0.030 2.826
Hg 1.873 -4.821 7.958
Hg -1.298 0.044 2.944
Sc 0.912 -2.346 3.873
```

Calculated values
Its total energy is -12.5 eV/cell. The energy of formation is -0.23 eV/atom. The space-group type is Imm2 (44).


(12)
# ScHg2As

An optimized crystal structure of ScHg2As (PBE, the Alexandria database).

```
4
Lattice="3.930 0.000 0.000 0.000 3.930 0.000 0.000 0.000 5.703" Properties=species:S:1:pos:R:3 pbc="T T T"
As 1.965 1.965 4.277
Hg 0.000 0.000 5.695
Hg 0.000 0.000 2.859
Sc 1.965 1.965 1.426
```

Calculated values
Its total energy is -12.2 eV/cell. The energy of formation is -0.14 eV/atom. The space-group type is P4/mmm (123).